No. 1
Below is an optimized crystal structure of RbTlCd3, with properties calculated at the PBE level.

Properties
Energy above the most stable polymorph in this dataset (meV per atom): 3

Unit cell a=5.6421 b=7.0512 c=8.6778 alpha=90.00 beta=100.21 gamma=90.00
Positions (direct):
Rb: 0.1323 0.2500 0.1601
Rb: 0.8677 0.7500 0.8399
Tl: 0.4684 0.7500 0.1593
Tl: 0.5316 0.2500 0.8407
Cd: 0.0156 0.7500 0.2968
Cd: 0.2895 0.5357 0.5718
Cd: 0.2895 0.9643 0.5718
Cd: 0.7105 0.0357 0.4282
Cd: 0.7105 0.4643 0.4282
Cd: 0.9844 0.2500 0.7032

No. 2
Below is an optimized crystal structure of Rb3Tl2Cd7, with properties calculated at the PBE level.

Unit cell a=11.1535 b=11.1535 c=11.1535 alpha=34.14 beta=34.14 gamma=34.14
Positions (direct):
Rb: 0.0000 0.0000 0.0000
Rb: 0.1428 0.1428 0.1428
Rb: 0.8572 0.8572 0.8572
Tl: 0.3349 0.3349 0.3349
Tl: 0.6651 0.6651 0.6651
Cd: 0.0805 0.5872 0.5872
Cd: 0.4128 0.4128 0.9195
Cd: 0.4128 0.9195 0.4128
Cd: 0.5000 0.5000 0.5000
Cd: 0.5872 0.0805 0.5872
Cd: 0.5872 0.5872 0.0805
Cd: 0.9195 0.4128 0.4128

No. 3
Below is an optimized crystal structure of Rb8TlCd2, with properties calculated at the PBE level.

Unit cell a=11.4091 b=11.4091 c=11.4091 alpha=147.67 beta=122.26 gamma=67.75
Positions (direct):
Rb: 0.1227 0.3409 0.7819
Rb: 0.1390 0.1390 0.0000
Rb: 0.3126 0.0000 0.3126
Rb: 0.4410 0.6591 0.7819
Rb: 0.5590 0.3409 0.2181
Rb: 0.6874 0.0000 0.6874
Rb: 0.8610 0.8610 0.0000
Rb: 0.8773 0.6591 0.2181
Tl: 0.0000 0.5000 0.5000
Cd: 0.3032 0.8032 0.5000
Cd: 0.6968 0.1968 0.5000

No. 4
Below is an optimized crystal structure of Rb2TlCd, with properties calculated at the PBE level.

Properties
Energy above the most stable polymorph in this dataset (meV per atom): 143

Unit cell a=6.3481 b=6.3481 c=6.3481 alpha=60.00 beta=60.00 gamma=60.00
Positions (direct):
Rb: 0.2500 0.2500 0.2500
Rb: 0.7500 0.7500 0.7500
Tl: 0.0000 0.0000 0.0000
Cd: 0.5000 0.5000 0.5000

No. 5
Below is an optimized crystal structure of Rb2Tl4Cd3, with properties calculated at the PBE level.

Unit cell a=10.0186 b=8.6823 c=6.7056 alpha=80.12 beta=58.62 gamma=41.25
Positions (direct):
Rb: 0.1390 0.1390 0.8610
Rb: 0.8610 0.8610 0.1390
Tl: 0.1660 0.5125 0.4875
Tl: 0.4875 0.8340 0.1660
Tl: 0.5125 0.1660 0.8340
Tl: 0.8340 0.4875 0.5125
Cd: 0.0000 0.0000 0.5000
Cd: 0.5000 0.5000 0.0000
Cd: 0.5000 0.5000 0.5000

No. 6
Below is an optimized crystal structure of RbTlCd10, with properties calculated at the PBE level.

Unit cell a=4.8100 b=6.3923 c=10.7131 alpha=90.00 beta=90.00 gamma=90.00
Positions (direct):
Rb: 0.0000 0.0000 0.0000
Tl: 0.0000 0.5000 0.5000
Cd: 0.0000 0.0000 0.3428
Cd: 0.0000 0.0000 0.6572
Cd: 0.0000 0.5000 0.1772
Cd: 0.0000 0.5000 0.8228
Cd: 0.5000 0.0000 0.5000
Cd: 0.5000 0.2523 0.2570
Cd: 0.5000 0.2523 0.7430
Cd: 0.5000 0.5000 0.0000
Cd: 0.5000 0.7477 0.2570
Cd: 0.5000 0.7477 0.7430

No. 7
Below is an optimized crystal structure of RbTl2Cd9, with properties calculated at the PBE level.

Unit cell a=10.4542 b=10.4542 c=10.4542 alpha=34.24 beta=34.24 gamma=34.24
Positions (direct):
Rb: 0.0000 0.0000 0.0000
Tl: 0.1442 0.1442 0.1442
Tl: 0.8558 0.8558 0.8558
Cd: 0.0808 0.5881 0.5881
Cd: 0.3336 0.3336 0.3336
Cd: 0.4119 0.4119 0.9192
Cd: 0.4119 0.9192 0.4119
Cd: 0.5000 0.5000 0.5000
Cd: 0.5881 0.0808 0.5881
Cd: 0.5881 0.5881 0.0808
Cd: 0.6664 0.6664 0.6664
Cd: 0.9192 0.4119 0.4119

No. 8
Below is an optimized crystal structure of RbTlCd3, with properties calculated at the PBE level.

Properties
Energy above the most stable polymorph in this dataset (meV per atom): 0

Unit cell a=9.8361 b=6.4861 c=10.2194 alpha=90.00 beta=105.51 gamma=90.00
Positions (direct):
Rb: 0.1151 0.1040 0.2046
Rb: 0.1151 0.3960 0.7046
Rb: 0.8849 0.6040 0.2954
Rb: 0.8849 0.8960 0.7954
Tl: 0.3903 0.1941 0.5223
Tl: 0.3903 0.3059 0.0223
Tl: 0.6097 0.6941 0.9777
Tl: 0.6097 0.8059 0.4777
Cd: 0.1540 0.5992 0.0605
Cd: 0.1540 0.9008 0.5605
Cd: 0.2894 0.6261 0.3753
Cd: 0.2894 0.8739 0.8753
Cd: 0.4471 0.6742 0.6814
Cd: 0.4471 0.8258 0.1814
Cd: 0.5529 0.1742 0.8186
Cd: 0.5529 0.3258 0.3186
Cd: 0.7106 0.1261 0.1247
Cd: 0.7106 0.3739 0.6247
Cd: 0.8460 0.0992 0.4395
Cd: 0.8460 0.4008 0.9395

No. 9
Below is an optimized crystal structure of Rb2Tl6Cd, with properties calculated at the PBE level.

Unit cell a=6.9849 b=6.9849 c=7.1398 alpha=95.57 beta=95.57 gamma=66.25
Positions (direct):
Rb: 0.1697 0.1697 0.3624
Rb: 0.8303 0.8303 0.6377
Tl: 0.1204 0.6790 0.1631
Tl: 0.3210 0.8796 0.8369
Tl: 0.3546 0.3546 0.8352
Tl: 0.6454 0.6454 0.1648
Tl: 0.6790 0.1204 0.1631
Tl: 0.8796 0.3210 0.8369
Cd: 0.5000 0.5000 0.5000

No. 10
Below is an optimized crystal structure of RbTlCd2, with properties calculated at the PBE level.

Properties
Energy above the most stable polymorph in this dataset (meV per atom): 23

Unit cell a=10.0986 b=7.9814 c=6.8497 alpha=90.00 beta=90.00 gamma=90.00
Positions (direct):
Rb: 0.0372 0.2500 0.1254
Rb: 0.4628 0.7500 0.6254
Rb: 0.5372 0.2500 0.3746
Rb: 0.9628 0.7500 0.8746
Tl: 0.1090 0.7500 0.3774
Tl: 0.3910 0.2500 0.8774
Tl: 0.6090 0.7500 0.1226
Tl: 0.8910 0.2500 0.6226
Cd: 0.1848 0.0632 0.6059
Cd: 0.1848 0.4368 0.6059
Cd: 0.3152 0.5632 0.1059
Cd: 0.3152 0.9368 0.1059
Cd: 0.6848 0.0632 0.8941
Cd: 0.6848 0.4368 0.8941
Cd: 0.8152 0.5632 0.3941
Cd: 0.8152 0.9368 0.3941

No. 11
Below is an optimized crystal structure of Rb3Tl2Cd, with properties calculated at the PBE level.

Unit cell a=8.9769 b=11.7763 c=13.2430 alpha=90.00 beta=121.92 gamma=90.00
Positions (direct):
Rb: 0.0857 0.1105 0.4282
Rb: 0.0857 0.3895 0.9282
Rb: 0.2197 0.0576 0.9089
Rb: 0.2197 0.4424 0.4089
Rb: 0.3799 0.6605 0.7334
Rb: 0.3799 0.8395 0.2334
Rb: 0.6201 0.1605 0.7666
Rb: 0.6201 0.3395 0.2666
Rb: 0.7803 0.5576 0.5911
Rb: 0.7803 0.9424 0.0911
Rb: 0.9143 0.6105 0.0718
Rb: 0.9143 0.8895 0.5718
Tl: 0.1305 0.7252 0.8879
Tl: 0.1305 0.7748 0.3879
Tl: 0.4709 0.6097 0.0655
Tl: 0.4709 0.8903 0.5655
Tl: 0.5291 0.1097 0.4345
Tl: 0.5291 0.3903 0.9345
Tl: 0.8695 0.2252 0.6121
Tl: 0.8695 0.2748 0.1121
Cd: 0.2057 0.1589 0.1874
Cd: 0.2057 0.3411 0.6874
Cd: 0.7943 0.6589 0.3126
Cd: 0.7943 0.8411 0.8126

No. 12
Below is an optimized crystal structure of RbTl2Cd3, with properties calculated at the PBE level.

Properties
Energy above the most stable polymorph in this dataset (meV per atom): 21

Unit cell a=7.4410 b=7.4410 c=7.0817 alpha=90.00 beta=90.00 gamma=82.80
Positions (direct):
Rb: 0.1760 0.8240 0.7500
Rb: 0.8240 0.1760 0.2500
Tl: 0.2768 0.2768 0.0000
Tl: 0.2768 0.2768 0.5000
Tl: 0.7232 0.7232 0.0000
Tl: 0.7232 0.7232 0.5000
Cd: 0.0605 0.6550 0.2500
Cd: 0.3450 0.9395 0.2500
Cd: 0.4525 0.5475 0.2500
Cd: 0.5475 0.4525 0.7500
Cd: 0.6550 0.0605 0.7500
Cd: 0.9395 0.3450 0.7500

No. 13
Below is an optimized crystal structure of Rb2Tl3Cd2, with properties calculated at the PBE level.

Unit cell a=7.1864 b=7.1864 c=9.0019 alpha=121.12 beta=121.12 gamma=42.38
Positions (direct):
Rb: 0.1464 0.1464 0.2685
Rb: 0.8536 0.8536 0.7315
Tl: 0.3713 0.3713 0.0606
Tl: 0.5000 0.5000 0.5000
Tl: 0.6287 0.6287 0.9394
Cd: 0.1220 0.1220 0.7068
Cd: 0.8780 0.8780 0.2932

No. 14
Below is an optimized crystal structure of Rb2TlCd, with properties calculated at the PBE level.

Properties
Energy above the most stable polymorph in this dataset (meV per atom): 120

Unit cell a=4.7566 b=4.7566 c=8.0390 alpha=90.00 beta=90.00 gamma=90.00
Positions (direct):
Rb: 0.0000 0.0000 0.2486
Rb: 0.0000 0.0000 0.7514
Tl: 0.5000 0.5000 0.0000
Cd: 0.5000 0.5000 0.5000

No. 15
Below is an optimized crystal structure of RbTl6Cd2, with properties calculated at the PBE level.

Properties
Energy above the most stable polymorph in this dataset (meV per atom): 0

Unit cell a=5.1405 b=5.1405 c=11.1661 alpha=90.00 beta=90.00 gamma=90.00
Positions (direct):
Rb: 0.0000 0.0000 0.0000
Tl: 0.0000 0.0000 0.5000
Tl: 0.0000 0.5000 0.2937
Tl: 0.0000 0.5000 0.7063
Tl: 0.5000 0.0000 0.2937
Tl: 0.5000 0.0000 0.7063
Tl: 0.5000 0.5000 0.5000
Cd: 0.5000 0.5000 0.1303
Cd: 0.5000 0.5000 0.8697

No. 16
Below is an optimized crystal structure of Rb17TlCd11, with properties calculated at the PBE level.

Unit cell a=12.2444 b=12.2444 c=12.1849 alpha=109.43 beta=109.43 gamma=109.50
Positions (direct):
Rb: 0.0000 0.0000 0.0000
Rb: 0.0003 0.6818 0.9992
Rb: 0.0005 0.0005 0.6786
Rb: 0.2823 0.5787 0.5786
Rb: 0.2983 0.7194 0.2974
Rb: 0.3030 0.3030 0.7243
Rb: 0.3180 0.3180 0.3196
Rb: 0.4177 0.7040 0.9981
Rb: 0.4186 0.9991 0.7026
Rb: 0.5787 0.2823 0.5786
Rb: 0.5790 0.5790 0.2809
Rb: 0.6818 0.0003 0.9992
Rb: 0.7015 0.9991 0.4194
Rb: 0.7040 0.4177 0.9981
Rb: 0.7194 0.2983 0.2974
Rb: 0.9991 0.4186 0.7026
Rb: 0.9991 0.7015 0.4194
Tl: 0.6553 0.6553 0.8279
Cd: 0.0004 0.3364 0.1609
Cd: 0.1627 0.9988 0.3381
Cd: 0.1683 0.3373 0.0009
Cd: 0.1686 0.8340 0.8327
Cd: 0.3364 0.0004 0.1609
Cd: 0.3373 0.1683 0.0009
Cd: 0.6634 0.8298 0.6620
Cd: 0.8298 0.6634 0.6620
Cd: 0.8300 0.8300 0.1647
Cd: 0.8340 0.1686 0.8327
Cd: 0.9988 0.1627 0.3381

No. 17
Below is an optimized crystal structure of Rb4Tl3Cd2, with properties calculated at the PBE level.

Unit cell a=9.8857 b=9.8857 c=8.5646 alpha=105.16 beta=105.16 gamma=30.44
Positions (direct):
Rb: 0.0834 0.0834 0.3937
Rb: 0.2696 0.2696 0.8135
Rb: 0.7304 0.7304 0.1865
Rb: 0.9166 0.9166 0.6063
Tl: 0.4026 0.4026 0.2594
Tl: 0.5000 0.5000 0.0000
Tl: 0.5974 0.5974 0.7406
Cd: 0.0831 0.0831 0.9310
Cd: 0.9169 0.9169 0.0690

No. 18
Below is an optimized crystal structure of Rb3TlCd6, with properties calculated at the PBE level.

Unit cell a=7.5177 b=7.5177 c=7.8025 alpha=108.51 beta=108.51 gamma=56.98
Positions (direct):
Rb: 0.0000 0.0000 0.0000
Rb: 0.4961 0.4961 0.2576
Rb: 0.5039 0.5039 0.7424
Tl: 0.0000 0.0000 0.5000
Cd: 0.0336 0.4461 0.8088
Cd: 0.2215 0.2215 0.4404
Cd: 0.4461 0.0336 0.8088
Cd: 0.5539 0.9664 0.1912
Cd: 0.7785 0.7785 0.5596
Cd: 0.9664 0.5539 0.1912

No. 19
Below is an optimized crystal structure of RbTl9Cd2, with properties calculated at the PBE level.

Unit cell a=10.3961 b=10.3961 c=10.3961 alpha=100.11 beta=100.11 gamma=130.46
Positions (direct):
Rb: 0.3750 0.6250 0.7500
Rb: 0.6250 0.3750 0.2500
Tl: 0.1225 0.5517 0.3247
Tl: 0.1225 0.7978 0.5708
Tl: 0.1250 0.8750 0.2500
Tl: 0.2022 0.2731 0.3247
Tl: 0.2022 0.8775 0.9292
Tl: 0.2731 0.2022 0.8247
Tl: 0.2731 0.4483 0.0708
Tl: 0.4483 0.2731 0.5708
Tl: 0.4483 0.8775 0.1753
Tl: 0.5517 0.1225 0.8247
Tl: 0.5517 0.7269 0.4292
Tl: 0.7269 0.5517 0.9292
Tl: 0.7269 0.7978 0.1753
Tl: 0.7978 0.1225 0.0708
Tl: 0.7978 0.7269 0.6753
Tl: 0.8750 0.1250 0.7500
Tl: 0.8775 0.2022 0.4292
Tl: 0.8775 0.4483 0.6753
Cd: 0.0000 0.0000 0.0000
Cd: 0.0000 0.0000 0.5000
Cd: 0.0000 0.5000 0.0000
Cd: 0.5000 0.0000 0.5000

No. 20
Below is an optimized crystal structure of RbTlCd2, with properties calculated at the PBE level.

Properties
Energy above the most stable polymorph in this dataset (meV per atom): 0

Unit cell a=7.1418 b=7.1418 c=7.1418 alpha=42.08 beta=42.08 gamma=42.08
Positions (direct):
Rb: 0.0000 0.0000 0.0000
Tl: 0.7972 0.7972 0.7972
Cd: 0.1970 0.1970 0.1970
Cd: 0.5200 0.5200 0.5200

| no. | total moment (μB per atom) | ΔH_f (0 K) (eV/atom) |
| --- | --- | --- |
| 1 | 0.000 | -0.0287 |
| 2 | 0.000 | -0.0413 |
| 3 | 0.000 | 0.0277 |
| 4 | 0.000 | 0.0818 |
| 5 | 0.000 | -0.0530 |
| 6 | 0.000 | -0.0004 |
| 7 | 0.000 | -0.0219 |
| 8 | 0.000 | -0.0315 |
| 9 | 0.000 | -0.0645 |
| 10 | 0.000 | -0.0282 |
| 11 | 0.000 | -0.0232 |
| 12 | 0.000 | -0.0265 |
| 13 | 0.000 | -0.0590 |
| 14 | 0.000 | 0.0587 |
| 15 | 0.000 | -0.0197 |
| 16 | 0.000 | 0.0310 |
| 17 | 0.000 | -0.0536 |
| 18 | 0.000 | -0.0063 |
| 19 | 0.000 | -0.0249 |
| 20 | 0.000 | -0.0508 |